Compound: Cd2BC
Source: the Alexandria database
Functional: PBE-GGA
Structure: relaxed

Structure (CIF):
```
data_Cd2BC
_chemical_formula_sum 'Cd8 B4 C4'
_cell_length_a 4.307
_cell_length_b 4.307
_cell_length_c 14.086
_cell_angle_alpha 90.00
_cell_angle_beta 90.00
_cell_angle_gamma 90.00
_symmetry_space_group_name_H-M 'I -4 2 d'
_symmetry_Int_Tables_number 122
_symmetry_space_group_name_Hall 'I -4 2bw'
loop_
_atom_site_label
_atom_site_type_symbol
_atom_site_fract_x
_atom_site_fract_y
_atom_site_fract_z
_atom_site_occupancy
Cd1 Cd 0.241 0.250 0.125 1
B1 B 0.000 0.000 0.500 1
C1 C 0.000 0.000 0.000 1
```

Results
total magnetization = 0.0 μB/cell
E above lowest polymorph = 0 meV per atom
raw total energy = -42.94 eV for the cell shown
formation energy = 1.749 eV per atom
DOS at the Fermi energy = 10.97 states/eV/cell

=====

Compound: CdB2C
Source: the Alexandria database
Functional: PBE-GGA
Structure: relaxed

Structure (CIF):
```
data_CdB2C
_chemical_formula_sum 'Cd4 B8 C4'
_cell_length_a 5.702
_cell_length_b 5.702
_cell_length_c 5.702
_cell_angle_alpha 90.00
_cell_angle_beta 90.00
_cell_angle_gamma 90.00
_symmetry_space_group_name_H-M 'F m -3 m'
_symmetry_Int_Tables_number 225
_symmetry_space_group_name_Hall '-F 4 2 3'
loop_
_atom_site_label
_atom_site_type_symbol
_atom_site_fract_x
_atom_site_fract_y
_atom_site_fract_z
_atom_site_occupancy
Cd1 Cd 0.000 0.000 0.000 1
B1 B 0.250 0.250 0.250 1
C1 C 0.000 0.000 0.500 1
```

Results
total magnetization = 0.0 μB/cell
E above lowest polymorph = 1954 meV per atom
raw total energy = -51.19 eV for the cell shown
formation energy = 2.674 eV per atom
DOS at the Fermi energy = 4.43 states/eV/cell

=====

Compound: CdB3C
Source: the Alexandria database
Functional: PBE-GGA
Structure: relaxed

Structure (CIF):
```
data_CdB3C
_chemical_formula_sum 'Cd1 B3 C1'
_cell_length_a 3.671
_cell_length_b 3.671
_cell_length_c 3.671
_cell_angle_alpha 90.00
_cell_angle_beta 90.00
_cell_angle_gamma 90.00
_symmetry_space_group_name_H-M 'P m -3 m'
_symmetry_Int_Tables_number 221
_symmetry_space_group_name_Hall '-P 4 2 3'
loop_
_atom_site_label
_atom_site_type_symbol
_atom_site_fract_x
_atom_site_fract_y
_atom_site_fract_z
_atom_site_occupancy
Cd1 Cd 0.000 0.000 0.000 1
B1 B 0.000 0.500 0.500 1
C1 C 0.500 0.500 0.500 1
```

Results
total magnetization = 0.0 μB/cell
E above lowest polymorph = 0 meV per atom
raw total energy = -20.44 eV for the cell shown
formation energy = 1.946 eV per atom
DOS at the Fermi energy = 2.40 states/eV/cell

=====

Repeat the first record exactly.
Compound: Cd2BC
Source: the Alexandria database
Functional: PBE-GGA
Structure: relaxed

Structure (CIF):
```
data_Cd2BC
_chemical_formula_sum 'Cd8 B4 C4'
_cell_length_a 4.307
_cell_length_b 4.307
_cell_length_c 14.086
_cell_angle_alpha 90.00
_cell_angle_beta 90.00
_cell_angle_gamma 90.00
_symmetry_space_group_name_H-M 'I -4 2 d'
_symmetry_Int_Tables_number 122
_symmetry_space_group_name_Hall 'I -4 2bw'
loop_
_atom_site_label
_atom_site_type_symbol
_atom_site_fract_x
_atom_site_fract_y
_atom_site_fract_z
_atom_site_occupancy
Cd1 Cd 0.241 0.250 0.125 1
B1 B 0.000 0.000 0.500 1
C1 C 0.000 0.000 0.000 1
```

Results
total magnetization = 0.0 μB/cell
E above lowest polymorph = 0 meV per atom
raw total energy = -42.94 eV for the cell shown
formation energy = 1.749 eV per atom
DOS at the Fermi energy = 10.97 states/eV/cell